Compound: PmTmLuPb
Source: the Alexandria database
Functional: GGA-PBE
Structure: optimized geometry

Lattice parameters (Å, degrees): 5.4770 5.4770 5.4770 60.00 60.00 60.00
Closest atoms and distances in Å follow each position.
Fractional positions:
Pm 0.0000 0.0000 0.0000  4 Pb 3.35, 4 Lu 3.35
Tm 0.5000 0.5000 0.5000  4 Lu 3.35, 4 Pb 3.35
Lu 0.7500 0.7500 0.7500  4 Tm 3.35, 4 Pm 3.35
Pb 0.2500 0.2500 0.2500  4 Tm 3.35, 4 Pm 3.35

Computed properties:
space-group type: F-43m (216)
formation energy: -0.41 eV per formula unit
V: 116.2 Å³/cell

---

Compound: Tb2Tm3Te2
Source: the Alexandria database
Functional: GGA-PBE
Structure: optimized geometry

Lattice parameters (Å, degrees): 13.6247 13.6247 3.9201 90.00 90.00 162.42
Closest atoms and distances in Å follow each position.
Fractional positions:
Tb 0.1275 0.8725 0.0000  4 Te 3.12, 4 Tm 3.47
Tb 0.8725 0.1275 0.0000  4 Te 3.12, 4 Tm 3.47
Tm 0.0000 0.0000 0.5000  4 Te 3.02
Tm 0.2993 0.7007 0.5000  1 Te 3.22, 2 Tm 3.37, 4 Tb 3.47
Tm 0.7007 0.2993 0.5000  1 Te 3.22, 2 Tm 3.37, 4 Tb 3.47
Te 0.4189 0.5811 0.5000  3 Tm 3.02-3.22, 4 Tb 3.12
Te 0.5811 0.4189 0.5000  3 Tm 3.02-3.22, 4 Tb 3.12

Computed properties:
space-group type: Cmmm (65)
raw formation energy: -0.497 eV per atom
V: 219.8 Å³/cell

---

Compound: Zr2ZnCu
Source: the Alexandria database
Functional: GGA-PBE
Structure: optimized geometry

Lattice parameters (Å, degrees): 6.3830 6.3830 6.3830 154.47 133.79 53.53
Closest atoms and distances in Å follow each position.
Fractional positions:
Zr 0.2444 0.2444 0.0000  1 Cu 2.79, 6 Zr 2.82-2.88, 1 Zn 2.91
Zr 0.7556 0.7556 0.0000  1 Cu 2.79, 6 Zr 2.82-2.88, 1 Zn 2.91
Zn 0.5000 0.5000 0.0000  2 Zn 2.82, 4 Cu 2.87, 2 Zr 2.91
Cu 0.0000 0.0000 0.0000  2 Zr 2.79, 2 Cu 2.82, 4 Zn 2.87

Computed properties:
space-group type: Immm (71)
formation energy: 2.20 eV per formula unit
V: 80.5 Å³/cell

---

Compound: BaTc2RuO8
Source: the Alexandria database
Functional: GGA-PBE
Structure: optimized geometry

Lattice parameters (Å, degrees): 5.5465 5.5465 7.3714 90.00 90.00 120.00
Closest atoms and distances in Å follow each position.
Fractional positions:
Ba 0.0000 0.0000 0.0000  12 O 2.92-3.21
Tc 0.3333 0.6667 0.7336  4 O 1.79-1.82
Tc 0.6667 0.3333 0.2664  4 O 1.79-1.82
Ru 0.0000 0.0000 0.5000  6 O 2.01
O 0.0708 0.3150 0.6670  1 Tc 1.82, 1 Ru 2.01
O 0.2442 0.9292 0.6670  1 Tc 1.82, 1 Ru 2.01
O 0.3150 0.2442 0.3330  1 Tc 1.82, 1 Ru 2.01
O 0.3333 0.6667 0.9760  1 Tc 1.79
O 0.6667 0.3333 0.0240  1 Tc 1.79
O 0.6850 0.7558 0.6670  1 Tc 1.82, 1 Ru 2.01
O 0.7558 0.0708 0.3330  1 Tc 1.82, 1 Ru 2.01
O 0.9292 0.6850 0.3330  1 Tc 1.82, 1 Ru 2.01

Computed properties:
space-group type: P-3 (147)
raw formation energy: -1.500 eV per atom
V: 196.4 Å³/cell

---

Compound: Be3Tc4
Source: the Alexandria database
Functional: GGA-PBE
Structure: optimized geometry

Lattice parameters (Å, degrees): 4.4916 4.4916 4.7421 90.00 90.00 120.00
Closest atoms and distances in Å follow each position.
Fractional positions:
Be 0.0000 0.5000 0.0000  4 Be 2.25
Be 0.5000 0.0000 0.0000  4 Be 2.25
Be 0.5000 0.5000 0.0000  4 Be 2.25
Tc 0.0000 0.0000 0.2451  2 Tc 2.32-2.42, 6 Be 2.53
Tc 0.0000 0.0000 0.7549  2 Tc 2.32-2.42, 6 Be 2.53
Tc 0.3333 0.6667 0.5000  9 Tc 2.59-2.86, 6 Be 2.70
Tc 0.6667 0.3333 0.5000  9 Tc 2.59-2.86, 6 Be 2.70

Computed properties:
relative energy among the computed polymorphs: 0 kJ/mol of formula units
space-group type: P6/mmm (191)
formation energy: -1.68 eV per formula unit
V: 82.9 Å³/cell

---

Compound: LaSb2IrBr
Source: the Alexandria database
Functional: GGA-PBE
Structure: optimized geometry

Lattice parameters (Å, degrees): 5.5120 5.5120 4.7171 90.00 90.00 90.00
Closest atoms and distances in Å follow each position.
Fractional positions:
La 0.0000 0.0000 0.0000  8 Sb 3.63, 4 Ir 3.90
Sb 0.0000 0.5000 0.5000  2 Br 2.76
Sb 0.5000 0.0000 0.5000  2 Br 2.76
Ir 0.5000 0.5000 0.0000  2 Br 2.36
Br 0.5000 0.5000 0.5000  2 Ir 2.36

Computed properties:
space-group type: P4/mmm (123)
raw formation energy: 0.519 eV per atom
V: 143.3 Å³/cell

---

Listing uncorrected energy for the structures above in their given order: -17.87; -32.44; -20.27; -89.60; -54.32; -21.11 eV per cell.
Listing theoretical density for the structures above in their given order: 9.9; 8.2; 6.4; 4.8; 8.4; 7.6 Mg/m³.